Record 1
DFT (GGA-PBE) results for an optimized crystal structure of Pm7Pr2Nd.

The structure belongs to space group Cmmm (No. 65); the cell edges are 12.0936, 17.0540 and 3.5586 Å and the angles 90.00°, 90.00° and 90.00°. The inequivalent atoms are Pm at (0.0000, 0.0000, 0.0000), Pm at (0.0000, 0.1738, 0.5000), Pm at (0.2430, 0.1274, 0.0000), Pr at (0.0000, 0.3276, 0.0000) and Nd at (0.0000, 0.5000, 0.5000).

For the energy of formation, the calculation gives 0.3759 eV per atom. The energy above the lowest structure with this stoichiometry is 0 meV/atom.



Record 2
DFT (GGA-PBE) results for an optimized crystal structure of BaTe2PtN.

The structure belongs to space group P4/mmm (No. 123); the cell edges are 6.4127, 6.4127 and 4.2672 Å and the angles 90.00°, 90.00° and 90.00°. The inequivalent atoms are Ba at (0.0000, 0.0000, 0.0000), Te at (0.0000, 0.5000, 0.0000), Pt at (0.5000, 0.5000, 0.5000) and N at (0.0000, 0.0000, 0.5000).

As for the energy relative to the elements, uncorrected: 1.56 eV per atom. The energy above the lowest structure with this stoichiometry is 1835 meV/atom.



Record 3
DFT (GGA-PBE) results for an optimized crystal structure of Nd2Sm2Tm5.

The structure belongs to space group C2/m (No. 12); the cell edges are 21.4400, 3.4867 and 8.2511 Å and the angles 90.00°, 99.78° and 90.00°. The inequivalent atoms are Nd at (0.1849, 0.0000, 0.1436), Sm at (0.0460, 0.5000, 0.3540), Tm at (0.0000, 0.0000, 0.0000), Tm at (0.0995, 0.0000, 0.7364) and Tm at (0.1903, 0.5000, 0.5247).

For the energy of formation, the calculation gives 0.2394 eV per atom. The energy above the lowest structure with this stoichiometry is 31 meV/atom.



Record 4
DFT (GGA-PBE) results for an optimized crystal structure of LiRe2Se.

The structure belongs to space group Imm2 (No. 44); the cell edges are 3.2141, 4.3516 and 8.1810 Å and the angles 90.00°, 90.00° and 90.00°. The inequivalent atoms are Li at (0.0000, 0.0000, 0.0000), Re at (0.0000, 0.0000, 0.5206), Re at (0.0000, 0.5000, 0.7583) and Se at (0.0000, 0.5000, 0.2645).

As for the energy relative to the elements, uncorrected: 0.50 eV per atom.



no.,final energy (eV for the cell shown)
1,-87.64
2,-14.75
3,-78.35
4,-56.61